# 1
Tb2Ni2Sn3 | GGA-PBE | optimized geometry

Lattice parameters (Å, degrees): 4.419 7.088 9.917 90.00 102.87 90.00
Element x y z (fractional)
1 Tb 0.165 0.250 0.331
2 Tb 0.835 0.750 0.669
3 Tb 0.963 0.250 0.926
4 Tb 0.037 0.750 0.074
5 Ni 0.706 0.949 0.412
6 Ni 0.294 0.051 0.588
7 Ni 0.294 0.449 0.588
8 Ni 0.706 0.551 0.412
9 Sn 0.214 0.750 0.428
10 Sn 0.786 0.250 0.572
11 Sn 0.575 0.456 0.150
12 Sn 0.425 0.544 0.850
13 Sn 0.425 0.956 0.850
14 Sn 0.575 0.044 0.150

## Properties
SG   Cmcm, No. 63
Spin magnetization   0.0 μB/cell
Energy relative to the lowest polymorph listed for this composition   0.00 kJ per mole of atoms
Calculated formation energy   -3.95 eV/f.u.

# 2
HoHfAs2 | GGA-PBE | optimized geometry

Lattice parameters (Å, degrees): 3.884 3.884 7.155 74.25 74.25 60.00
Element x y z (fractional)
1 Ho 0.496 0.496 0.511
2 Hf 0.670 0.670 0.989
3 As 0.077 0.077 0.770
4 As 0.257 0.257 0.230

## Properties
SG   R3m, No. 160
Spin magnetization   0.0 μB/cell
Energy relative to the lowest polymorph listed for this composition   8.56 kJ per mole of atoms
Calculated formation energy   -4.66 eV/f.u.

# 3
CaGaSb | GGA-PBE | optimized geometry

Lattice parameters (Å, degrees): 3.857 3.857 5.926 108.99 108.99 90.00
Element x y z (fractional)
1 Sb 0.310 0.310 0.620
2 Ca 0.617 0.617 0.233
3 Ga 0.923 0.923 0.847

## Properties
SG   I4mm, No. 107
Spin magnetization   0.0 μB/cell
Energy relative to the lowest polymorph listed for this composition   22.64 kJ per mole of atoms

# 4
SrH | GGA-PBE | optimized geometry

Lattice parameters (Å, degrees): 6.893 6.893 4.159 90.00 90.00 90.00
Element x y z (fractional)
1 Sr 0.293 0.293 0.000
2 Sr 0.793 0.207 0.500
3 Sr 0.207 0.793 0.500
4 Sr 0.707 0.707 0.000
5 H 0.354 0.646 0.000
6 H 0.854 0.854 0.500
7 H 0.146 0.146 0.500
8 H 0.646 0.354 0.000

## Properties
SG   P4_2/mnm, No. 136
Spin magnetization   0.4 μB/cell
Total energy   -2.81 eV per atom

Question: Which value of spin magnetization does entry 4 give?
Answer: 0.4 μB/cell

Question: Which formula does entry 1 have?
Answer: Tb2Ni2Sn3